The following is a PBE calculation of crystalline TmIrOs at its relaxed geometry, from OQMD via LeMat-Bulk.

Results
* size of the total moment: 0.02 μB per formula unit
* formation energy: 0.93 eV/atom
* calculated volume: 20.52 Å³ per atom

a b c (Å): 4.432 4.432 4.432
angles (deg): 60.00 60.00 60.00
Element x y z (fractional)
Ir 0.250 0.250 0.250
Tm 0.000 0.000 0.000
Os 0.750 0.750 0.750